1.
Computed, not measured: a geometry-optimized Ba3Au2O structure at the PBE-GGA level of DFT.

- Distance to the lowest polymorph of the same formula: 64 meV/atom
- Density of states at the Fermi level: 0.5962 states/eV per atom
- Energy relative to the elements, uncorrected: -1.174 eV per atom

Geometry as POSCAR:
```
Ba3Au2O
1.0
6.696 0.000 0.000
0.000 8.641 -0.256
-3.348 -2.378 7.027
Ba Au O
6 4 2
Cartesian
2.926 2.160 -0.064
3.769 6.480 -0.192
0.199 -0.490 1.926
3.547 2.433 4.973
-0.199 3.830 1.798
3.149 6.753 4.846
3.120 4.456 2.320
3.576 0.136 2.448
-0.228 6.127 4.323
0.228 1.807 4.451
6.279 6.480 -0.192
0.417 2.160 -0.064
```



2.
Computed, not measured: a geometry-optimized InH2Ir structure at the PBE-GGA level of DFT.

- Distance to the lowest polymorph of the same formula: 291 meV/atom
- Density of states at the Fermi level: 0.4938 states/eV per atom

Geometry as POSCAR:
```
InH2Ir
1.0
2.973 0.000 0.000
1.487 2.575 0.000
1.487 0.858 6.191
H Ir In
2 1 1
Cartesian
1.487 0.858 0.766
4.460 2.575 5.425
0.000 0.000 0.000
2.973 1.717 3.095
```



3.
Computed, not measured: a geometry-optimized LiZrTi2C structure at the PBE-GGA level of DFT.

- Density of states at the Fermi level: 1.2471 states/eV per atom
- DFT formation energy: 1.614 eV/atom

Geometry as POSCAR:
```
LiZrTi2C
1.0
4.107 0.000 0.000
0.000 4.664 0.000
0.000 0.000 4.107
C Li Zr Ti
1 1 1 2
Cartesian
2.053 2.332 2.053
0.000 0.000 0.000
0.000 2.332 0.000
0.000 0.000 2.053
2.053 0.000 0.000
```



4.
Computed, not measured: a geometry-optimized NaAgRh2N structure at the PBE-GGA level of DFT.

- Density of states at the Fermi level: 0.4130 states/eV per atom
- Energy relative to the elements, uncorrected: 0.085 eV per atom

Geometry as POSCAR:
```
NaAgRh2N
1.0
-1.314 -1.056 3.605
-0.405 -3.757 -1.248
4.408 -0.919 1.337
Na Rh Ag N
1 2 1 1
Cartesian
2.204 -0.460 0.669
-0.202 -1.878 -0.624
-0.657 -0.528 1.802
1.344 -2.866 1.847
0.000 0.000 0.000
```



5.
Computed, not measured: a geometry-optimized Si2TcAu structure at the PBE-GGA level of DFT.

- Distance to the lowest polymorph of the same formula: 429 meV/atom
- Density of states at the Fermi level: 0.9048 states/eV per atom
- Energy relative to the elements, uncorrected: 0.266 eV per atom

Geometry as POSCAR:
```
Si2TcAu
1.0
4.310 -0.570 0.506
2.036 1.687 3.488
1.504 -2.644 3.147
Si Au Tc
2 1 1
Cartesian
1.962 -0.382 1.785
5.887 -1.145 5.355
3.925 -0.763 3.570
0.000 0.000 0.000
```



6.
Computed, not measured: a geometry-optimized BaYPd structure at the PBE-GGA level of DFT.

- Density of states at the Fermi level: 0.8444 states/eV per atom
- DFT formation energy: -0.408 eV/atom

Geometry as POSCAR:
```
BaYPd
1.0
3.745 0.000 0.000
0.000 3.745 0.000
-1.872 -1.872 6.863
Y Ba Pd
1 1 1
Cartesian
0.000 0.000 3.898
0.000 0.000 0.325
1.872 1.872 2.640
```



7.
Computed, not measured: a geometry-optimized BaCdSO4 structure at the PBE-GGA level of DFT.

- Energy relative to the elements, uncorrected: -1.223 eV per atom

Geometry as POSCAR:
```
BaCdSO4
1.0
-2.488 5.884 1.011
-4.633 0.834 4.436
1.308 3.165 5.487
Ba Cd S O
1 1 1 4
Cartesian
-4.360 7.412 8.201
-2.907 4.942 5.467
-1.453 2.471 2.734
-1.190 5.373 7.179
-2.003 3.406 3.768
-4.884 3.924 6.525
-3.550 7.064 4.396
```



8.
Computed, not measured: a geometry-optimized LaYAu structure at the PBE-GGA level of DFT.

- Distance to the lowest polymorph of the same formula: 178 meV/atom
- Density of states at the Fermi level: 1.4108 states/eV per atom
- DFT formation energy: -0.398 eV/atom

Geometry as POSCAR:
```
LaYAu
1.0
5.114 0.000 0.000
2.557 4.429 0.000
2.557 1.476 4.176
Au La Y
1 1 1
Cartesian
7.671 4.429 3.132
0.000 0.000 0.000
5.114 2.953 2.088
```